A geometry-optimized La2Ga3BiPt4 structure. Source: the Alexandria database, functional PBE-GGA.

## Properties
formation energy from the elements	-0.897	eV/atom
final energy	-5.595	eV/atom
space-group type	P-4m2, No. 115
density	11.58	g cm⁻³

a = 4.3428 Å, b = 4.3428 Å, c = 11.2225 Å
α = 90.00°, β = 90.00°, γ = 90.00°
Closest atoms and distances in Å follow each position.
Element x y z (fractional)
1 Ga 0.5000 0.0000 0.8800  5 Pt 2.47-2.56
2 Ga 0.0000 0.0000 0.5000  4 Pt 2.82, 4 Bi 3.07
3 Ga 0.0000 0.5000 0.1200  5 Pt 2.47-2.56
4 La 0.0000 0.5000 0.7617  8 Pt 3.28-3.44, 6 Ga 3.35-3.65, 2 Bi 3.65
5 La 0.5000 0.0000 0.2383  8 Pt 3.28-3.44, 6 Ga 3.35-3.65, 2 Bi 3.65
6 Pt 0.0000 0.0000 0.0000  4 Ga 2.56
7 Pt 0.5000 0.5000 0.0000  4 Ga 2.56
8 Pt 0.0000 0.5000 0.3400  1 Ga 2.47
9 Pt 0.5000 0.0000 0.6600  1 Ga 2.47
10 Bi 0.5000 0.5000 0.5000  4 Pt 2.82, 4 Ga 3.07

---

A geometry-optimized RbTlGe structure. Source: the Alexandria database, functional PBE-GGA.

## Properties
formation energy from the elements	0.102	eV/atom
final energy	-2.548	eV/atom
space-group type	P-6m2, No. 187
density	6.10	g cm⁻³

a = 5.3382 Å, b = 5.3382 Å, c = 8.0033 Å
α = 90.00°, β = 90.00°, γ = 120.00°
Closest atoms and distances in Å follow each position.
Element x y z (fractional)
1 Tl 0.3333 0.6667 0.2292  3 Ge 3.19
2 Tl 0.3333 0.6667 0.7708  3 Ge 3.19
3 Rb 0.6667 0.3333 0.0000  6 Tl 3.59, 2 Rb 4.00
4 Rb 0.6667 0.3333 0.5000  6 Ge 3.36, 6 Tl 3.77
5 Ge 0.0000 0.0000 0.3313  1 Ge 2.70
6 Ge 0.0000 0.0000 0.6687  1 Ge 2.70